First-principles (PBE) data for a relaxed AcSmCuS4 crystal, as listed in Alexandria via LeMat-Bulk. Values from VASP.

Output
- Formation energy (no corrections): -1565 meV/atom
- Energy: -5.770 eV per atom
- Calculated volume: 312.47 Å³/cell
- Spin magnetization: 0.000 μB/atom
- Symmetry: P2_1/m (11)

Quantum ESPRESSO input file:
```
&SYSTEM
  ibrav = 0, nat = 14, ntyp = 4
/
ATOMIC_SPECIES
S 32.06 S.upf
Cu 63.55 Cu.upf
Sm 150.36 Sm.upf
Ac 227.00 Ac.upf
ATOMIC_POSITIONS crystal
S 0.013 0.512 0.741
Cu 0.755 0.250 0.684
S 0.427 0.750 0.596
S 0.573 0.250 0.404
Sm 0.263 0.250 0.562
S 0.987 0.488 0.259
S 0.013 0.988 0.741
S 0.430 0.750 0.124
Cu 0.245 0.750 0.316
S 0.570 0.250 0.876
Ac 0.733 0.750 0.933
Ac 0.267 0.250 0.067
S 0.987 0.012 0.259
Sm 0.737 0.750 0.438
CELL_PARAMETERS angstrom
6.828 0.000 0.090
0.000 5.789 0.000
-2.563 0.000 7.871
```

First-principles (PBE) data for a relaxed AcSm2CuS5 crystal, as listed in Alexandria via LeMat-Bulk. Values from VASP.

Output
- Formation energy (no corrections): -1705 meV/atom
- Energy: -5.958 eV per atom
- Calculated volume: 421.33 Å³/cell
- Spin magnetization: 0.000 μB/atom
- Symmetry: Cmc2_1 (36)

Quantum ESPRESSO input file:
```
&SYSTEM
  ibrav = 0, nat = 18, ntyp = 4
/
ATOMIC_SPECIES
Sm 150.36 Sm.upf
S 32.06 S.upf
Cu 63.55 Cu.upf
Ac 227.00 Ac.upf
ATOMIC_POSITIONS crystal
Sm 0.082 0.163 0.683
S 0.366 0.732 0.006
S 0.662 0.323 0.822
Cu 0.437 0.873 0.452
Sm 0.894 0.787 0.810
S 0.304 0.608 0.704
Ac 0.796 0.591 0.503
Cu 0.563 0.127 0.952
S 0.696 0.392 0.204
S 0.505 0.010 0.283
S 0.634 0.268 0.506
S 0.053 0.105 0.061
S 0.495 0.990 0.783
S 0.947 0.895 0.561
Ac 0.204 0.409 0.003
Sm 0.918 0.837 0.183
S 0.338 0.677 0.322
Sm 0.106 0.213 0.310
CELL_PARAMETERS angstrom
3.934 0.000 0.000
-1.967 9.665 0.000
0.000 0.000 11.079
```